K4CoMo4O15: relaxed, PBE+U.

Computed properties:
As for the size of the total moment: 0.125 μB/atom. The volume comes out at 16.49 Å³ per atom. The calculation puts the total energy at -6.390 eV/atom.

Unit cell a=10.4715 b=10.4715 c=8.3350 alpha=90.00 beta=90.00 gamma=120.00
Last column: nearest neighbours and their distance in Å.
Space group P-3 (No. 147)
Asymmetric unit:
K (0.0000, 0.0000, 0.0000) (multiplicity 1)  6 O 2.88
K (0.0000, 0.0000, 0.5000) (multiplicity 1)  6 O 2.83
K (0.0942, 0.6942, 0.1406) (multiplicity 6)  7 O 2.68-2.97
Co (0.3333, 0.6667, 0.4735) (multiplicity 2)  6 O 2.09-2.14
Mo (0.0127, 0.6713, 0.6340) (multiplicity 6)  4 O 1.76-1.86
Mo (0.3333, 0.6667, 0.8500) (multiplicity 2)  3 O 1.78
O (0.0031, 0.7845, 0.7879) (multiplicity 6)  1 Mo 1.78
O (0.0095, 0.7388, 0.4416) (multiplicity 6)  1 Mo 1.76
O (0.1499, 0.5112, 0.3457) (multiplicity 6)  1 Mo 1.82
O (0.1759, 0.5195, 0.9436) (multiplicity 6)  1 Mo 1.78
O (0.1854, 0.6634, 0.6532) (multiplicity 6)  1 Mo 1.86